Entry from Alexandria: a geometry-optimized Li2BiI structure (PBE-GGA).

Lattice parameters (Å, degrees): 7.4327 7.4327 7.4327 90.00 90.00 90.00
Space group Fm-3m (No. 225)
One atom of each set of equivalent atoms:
Li: 0.2500 0.2500 0.2500 x8
Bi: 0.0000 0.0000 0.0000 x4
I: 0.0000 0.0000 0.5000 x4

Values from the calculation:
Spin magnetization (μB/atom): 0.000
Mass density (g cm⁻³): 5.7
E_form (uncorrected) (meV per atom): -261
D(E_F) (states/eV per cell): 15.56

---

Entry from Alexandria: a geometry-optimized Mo7Cl structure (PBE-GGA).

Lattice parameters (Å, degrees): 8.0289 8.0289 8.0289 90.00 90.00 90.00
Space group Fm-3m (No. 225)
One atom of each set of equivalent atoms:
Mo: 0.0000 0.0000 0.0000 x4
Mo: 0.0000 0.2500 0.2500 x24
Cl: 0.0000 0.0000 0.5000 x4

Values from the calculation:
Spin magnetization (μB/atom): 0.000
Mass density (g cm⁻³): 9.1
E_form (uncorrected) (meV per atom): 755
D(E_F) (states/eV per cell): 35.12

---

Entry from Alexandria: a geometry-optimized Zn2Au structure (PBE-GGA).

Lattice parameters (Å, degrees): 3.9103 3.9103 24.8035 90.00 90.00 90.00
Space group I4_1/amd (No. 141, origin choice 2)
One atom of each set of equivalent atoms:
Zn: 0.0000 0.2500 0.1251 x8
Zn: 0.0000 0.2500 0.2919 x8
Au: 0.0000 0.2500 0.7958 x8

Values from the calculation:
Calculated formation energy (eV/atom): -0.14
Spin magnetization (μB/atom): 0.000
Mass density (g cm⁻³): 11.5
D(E_F) (states/eV per cell): 5.33